Entry 1:
# Pu2Ga2Au3

A relaxed Pu2Ga2Au3 crystal (PBE, Alexandria via LeMat-Bulk).

Geometry as extended XYZ:
```
14
Lattice="2.1325 -9.8784 0.0000 2.1325 9.8784 0.0000 0.0000 0.0000 7.3207" Properties=species:S:1:pos:R:3 pbc="T T T"
Pu 2.1325 8.8792 5.4905
Pu 2.1325 6.7623 1.8302
Pu 2.1325 -6.7623 5.4905
Pu 2.1325 -8.8792 1.8302
Ga 2.1325 3.7849 0.3811
Ga 2.1325 3.7849 3.2792
Ga 2.1325 -3.7849 4.0414
Ga 2.1325 -3.7849 6.9396
Au 2.1325 5.5491 5.4905
Au 2.1325 1.2894 4.0819
Au 2.1325 1.2894 6.8991
Au 2.1325 -1.2894 0.4216
Au 2.1325 -1.2894 3.2387
Au 2.1325 -5.5491 1.8302
```

Calculated density: 13119 kg/m3
ΔE_f: -0.41 eV per atom
Crystal system: orthorhombic


Entry 2:
# BiRu2O

A relaxed BiRu2O crystal (PBE, Alexandria via LeMat-Bulk).

Geometry as extended XYZ:
```
16
Lattice="4.6795 0.0000 0.0000 0.0000 4.6795 0.0000 0.0000 0.0000 13.1748" Properties=species:S:1:pos:R:3 pbc="T T T"
Bi 0.0000 0.0000 0.0000
Bi 0.0000 2.3397 3.2937
Bi 2.3397 0.0000 9.8811
Bi 2.3397 2.3397 6.5874
Ru 0.4449 1.1699 8.2342
Ru 1.1699 2.7847 11.5279
Ru 1.1699 4.2346 4.9405
Ru 1.8948 1.1699 1.6468
Ru 2.7847 3.5096 1.6468
Ru 3.5096 0.4449 4.9405
Ru 3.5096 1.8948 11.5279
Ru 4.2346 3.5096 8.2342
O 0.0000 0.0000 6.5874
O 0.0000 2.3397 9.8811
O 2.3397 0.0000 3.2937
O 2.3397 2.3397 0.0000
```

Calculated density: 9834 kg/m3
Energy above the lowest structure with this stoichiometry: 0.000 eV/atom
Uncorrected formation energy: 135 meV per atom
Crystal system: tetragonal


Entry 3:
# Pm2ErTmBi5

A relaxed Pm2ErTmBi5 crystal (PBE, Alexandria via LeMat-Bulk).

Geometry as extended XYZ:
```
9
Lattice="5.3836 0.0000 0.0000 0.0000 5.3836 0.0000 0.0000 0.0000 11.8561" Properties=species:S:1:pos:R:3 pbc="T T T"
Pm 0.0000 0.0000 2.6803
Pm 0.0000 0.0000 9.1758
Er 2.6918 2.6918 5.9281
Tm 2.6918 2.6918 0.0000
Bi 0.0000 0.0000 5.9281
Bi 0.0000 2.6918 0.0000
Bi 2.6918 0.0000 0.0000
Bi 2.6918 2.6918 3.0113
Bi 2.6918 2.6918 8.8448
```

Calculated density: 8076 kg/m3
ΔE_f: -0.10 eV per atom
Crystal system: tetragonal


Entry 4:
# TcCSeBr2

A relaxed TcCSeBr2 crystal (PBE, Alexandria via LeMat-Bulk).

Geometry as extended XYZ:
```
5
Lattice="5.1752 0.0000 0.0000 0.0000 5.1752 0.0000 0.0000 0.0000 4.7501" Properties=species:S:1:pos:R:3 pbc="T T T"
Tc 0.0000 0.0000 0.0000
C 2.5876 2.5876 2.3751
Se 0.0000 0.0000 2.3751
Br 0.0000 2.5876 0.0000
Br 2.5876 0.0000 0.0000
```

Calculated density: 4552 kg/m3
Energy above the lowest structure with this stoichiometry: 0.000 eV/atom
Uncorrected formation energy: 1544 meV per atom
Crystal system: tetragonal


Entry 5:
# Np2ZnH12Rh3

A relaxed Np2ZnH12Rh3 crystal (PBE, Alexandria via LeMat-Bulk).

Geometry as extended XYZ:
```
18
Lattice="3.1384 1.8120 4.5903 -3.1384 1.8120 4.5903 0.0000 -3.6240 4.5903" Properties=species:S:1:pos:R:3 pbc="T T T"
Np 0.0000 0.0000 1.5445
Np 0.0000 0.0000 12.2265
Zn 0.0000 0.0000 6.8855
H -1.5657 -0.9040 6.2690
H 0.0000 -1.6864 4.4856
H -1.4605 0.8432 4.4856
H -1.4605 -0.8432 9.2853
H 0.0000 -1.8080 7.5020
H -1.5657 0.9040 7.5020
H 1.5657 -0.9040 6.2690
H 0.0000 1.8080 6.2690
H 1.4605 0.8432 4.4856
H 1.4605 -0.8432 9.2853
H 0.0000 1.6864 9.2853
H 1.5657 0.9040 7.5020
Rh -1.5692 -0.9060 4.5903
Rh -1.5692 0.9060 9.1806
Rh 0.0000 1.8120 4.5903
```

Calculated density: 9120 kg/m3
Total energy: -5.030 eV/atom
Crystal system: trigonal


Entry 6:
# Cs6ThI12

A relaxed Cs6ThI12 crystal (PBE, Alexandria via LeMat-Bulk).

Geometry as extended XYZ:
```
19
Lattice="8.0940 4.6731 5.2789 -8.0940 4.6731 5.2789 0.0000 -9.3461 5.2789" Properties=species:S:1:pos:R:3 pbc="T T T"
Cs -3.8009 1.0728 5.6309
Cs 0.9714 -3.8281 5.6309
Cs -2.8295 -2.7553 10.2059
Cs 2.8295 2.7553 5.6309
Cs -0.9714 3.8281 10.2059
Cs 3.8009 -1.0728 10.2059
Th 0.0000 0.0000 0.0000
I -5.6519 -5.3673 8.7987
I -7.4742 2.2110 7.0381
I -2.5951 -2.5222 6.3187
I 1.8223 -7.5783 7.0381
I -3.4819 0.9863 9.5180
I -0.8868 3.5085 6.3187
I 0.8867 -3.5085 9.5180
I 3.4819 -0.9863 6.3187
I -1.8223 7.5783 8.7987
I 2.5951 2.5222 9.5180
I 7.4742 -2.2110 8.7987
I 5.6519 5.3673 7.0381
```

Calculated density: 3538 kg/m3
Uncorrected formation energy: -1251 meV per atom
Crystal system: trigonal


Entry 7:
# LiGaHgCl4

A relaxed LiGaHgCl4 crystal (PBE, Alexandria via LeMat-Bulk).

Geometry as extended XYZ:
```
14
Lattice="6.3614 -3.7326 0.0000 6.3614 3.7326 0.0000 -2.9690 0.0000 9.3420" Properties=species:S:1:pos:R:3 pbc="T T T"
Li 2.2673 0.0000 2.0422
Li 7.4864 0.0000 7.2998
Ga -0.5015 0.0000 7.2076
Ga 10.2552 0.0000 2.1344
Hg 3.4850 0.0000 7.1101
Hg 6.2688 0.0000 2.2319
Cl -0.2651 0.0000 2.0034
Cl 3.1904 1.9512 3.2485
Cl 0.3833 0.0000 9.2329
Cl 6.5633 1.9512 6.0935
Cl 3.1904 -1.9512 3.2485
Cl 9.3705 0.0000 0.1091
Cl 6.5633 -1.9512 6.0935
Cl 10.0189 0.0000 7.3386
```

Calculated density: 3137 kg/m3
Uncorrected formation energy: -1126 meV per atom
Crystal system: monoclinic


Entry 8:
# Th8P3C4N

A relaxed Th8P3C4N crystal (PBE, Alexandria via LeMat-Bulk).

Geometry as extended XYZ:
```
16
Lattice="3.8993 2.2513 6.4770 -3.8993 2.2513 6.4770 0.0000 -4.5025 6.4770" Properties=species:S:1:pos:R:3 pbc="T T T"
Th -2.0239 -1.1685 11.2121
Th 0.0000 0.0000 4.6699
Th 0.0000 -2.3370 8.2189
Th -2.0239 1.1685 8.2189
Th 2.0239 -1.1685 11.2121
Th 0.0000 2.3370 11.2121
Th 0.0000 0.0000 14.7611
Th 2.0239 1.1685 8.2189
P -1.9496 -1.1256 6.4770
P -1.9496 1.1256 12.9540
P 0.0000 2.2513 6.4770
C -3.8993 0.0000 9.7155
C -1.9496 1.1256 3.2385
C 1.9496 1.1256 3.2385
C 0.0000 0.0000 9.7155
N 0.0000 0.0000 0.0000
```

Calculated density: 9790 kg/m3
Uncorrected formation energy: -860 meV per atom
Crystal system: trigonal


Entry 9:
# La3Cu2Ni

A relaxed La3Cu2Ni crystal (PBE, Alexandria via LeMat-Bulk).

Geometry as extended XYZ:
```
24
Lattice="12.2597 0.0000 0.0000 0.0000 4.3925 0.0000 0.0000 0.0000 11.0332" Properties=species:S:1:pos:R:3 pbc="T T T"
La 0.6851 1.0981 1.3872
La 1.3547 3.2943 6.2297
La 2.8043 1.0981 8.8301
La 3.3255 3.2943 3.3135
La 4.7751 1.0981 0.7131
La 5.4448 3.2943 6.9038
La 6.8150 1.0981 4.1295
La 7.4846 3.2943 10.3202
La 8.9342 1.0981 7.7197
La 9.4554 3.2943 2.2031
La 10.9050 1.0981 4.8036
La 11.5747 3.2943 9.6461
Cu 0.2501 3.2943 3.4048
Cu 2.5302 3.2943 0.0191
Cu 3.5997 1.0981 5.5357
Cu 5.8798 1.0981 8.9214
Cu 6.3800 3.2943 2.1118
Cu 8.6601 3.2943 5.4975
Cu 9.7296 1.0981 11.0142
Cu 12.0096 1.0981 7.6284
Ni 1.4806 1.0981 4.1043
Ni 4.6493 3.2943 9.6209
Ni 7.6105 1.0981 1.4123
Ni 10.7792 3.2943 6.9290
```

Calculated density: 6736 kg/m3
ΔE_f: -0.20 eV per atom
Crystal system: orthorhombic


Entry 10:
# HfTi2C3

A relaxed HfTi2C3 crystal (PBE, Alexandria via LeMat-Bulk).

Geometry as extended XYZ:
```
12
Lattice="3.1257 0.0000 0.0000 0.0000 8.4884 0.0000 0.0000 0.0000 4.8993" Properties=species:S:1:pos:R:3 pbc="T T T"
Hf 0.0000 0.5978 0.0000
Hf 0.0000 7.8906 2.4496
Ti 0.0000 2.5550 2.4469
Ti 0.0000 5.9334 4.8966
Ti 1.5628 3.3404 4.8919
Ti 1.5628 5.1480 2.4422
C 0.0000 4.2424 1.2196
C 0.0000 4.2460 3.6692
C 1.5628 1.3308 1.6330
C 1.5628 1.3435 3.2734
C 1.5628 7.1449 0.8238
C 1.5628 7.1575 4.0826
```

Calculated density: 7927 kg/m3
Energy above the lowest structure with this stoichiometry: 0.406 eV/atom
ΔE_f: -0.40 eV per atom
Crystal system: orthorhombic


Entry 11:
# Na6Tl2In

A relaxed Na6Tl2In crystal (PBE, Alexandria via LeMat-Bulk).

Geometry as extended XYZ:
```
9
Lattice="2.7772 1.6034 10.6223 -2.7772 1.6034 10.6223 0.0000 -3.2068 10.6223" Properties=species:S:1:pos:R:3 pbc="T T T"
Na 0.0000 0.0000 2.7238
Na 0.0000 0.0000 6.3403
Na 0.0000 0.0000 9.7768
Na 0.0000 0.0000 22.0900
Na 0.0000 0.0000 25.5265
Na 0.0000 0.0000 29.1430
Tl 0.0000 0.0000 12.9853
Tl 0.0000 0.0000 18.8814
In 0.0000 0.0000 15.9334
```

Calculated density: 3871 kg/m3
ΔE_f: -0.08 eV per atom
Crystal system: trigonal


Entry 12:
# TaOF

A relaxed TaOF crystal (PBE, Alexandria via LeMat-Bulk).

Geometry as extended XYZ:
```
12
Lattice="3.2812 0.0000 0.0000 0.0000 12.5264 0.0000 0.0000 0.0000 4.9444" Properties=species:S:1:pos:R:3 pbc="T T T"
Ta 0.0000 2.5777 0.0000
Ta 0.0000 9.9488 2.4722
Ta 1.6406 3.6856 2.4722
Ta 1.6406 8.8409 0.0000
O 0.0000 4.0629 3.7100
O 0.0000 8.4636 1.2378
O 1.6406 2.2003 1.2378
O 1.6406 10.3261 3.7100
F 0.0000 0.7303 4.5412
F 0.0000 11.7962 2.0690
F 1.6406 5.5329 2.0690
F 1.6406 6.9935 4.5412
```

Calculated density: 7058 kg/m3
Uncorrected formation energy: -2159 meV per atom
Crystal system: orthorhombic


Entry 13:
# CaHoIrPd

A relaxed CaHoIrPd crystal (PBE, Alexandria via LeMat-Bulk).

Geometry as extended XYZ:
```
16
Lattice="6.8942 0.0000 0.0000 0.0000 6.8942 0.0000 0.0000 0.0000 6.8942" Properties=species:S:1:pos:R:3 pbc="T T T"
Ca 0.0000 0.0000 0.0000
Ca 0.0000 3.4471 3.4471
Ca 3.4471 0.0000 3.4471
Ca 3.4471 3.4471 0.0000
Ho 0.0000 0.0000 3.4471
Ho 0.0000 3.4471 0.0000
Ho 3.4471 0.0000 0.0000
Ho 3.4471 3.4471 3.4471
Ir 1.7236 1.7236 5.1707
Ir 1.7236 5.1707 1.7236
Ir 5.1707 1.7236 1.7236
Ir 5.1707 5.1707 5.1707
Pd 1.7236 1.7236 1.7236
Pd 1.7236 5.1707 5.1707
Pd 5.1707 1.7236 5.1707
Pd 5.1707 5.1707 1.7236
```

Calculated density: 10209 kg/m3
Energy above the lowest structure with this stoichiometry: 0.005 eV/atom
ΔE_f: -0.70 eV per atom
Crystal system: cubic


Entry 14:
# ZrOs2Se

A relaxed ZrOs2Se crystal (PBE, Alexandria via LeMat-Bulk).

Geometry as extended XYZ:
```
4
Lattice="3.0241 0.0000 0.0000 0.0000 4.6565 0.0000 0.0000 0.0000 4.6669" Properties=species:S:1:pos:R:3 pbc="T T T"
Zr 0.0000 0.0000 0.0000
Os 0.0000 2.3283 2.3335
Os 1.5120 2.3283 0.0000
Se 1.5120 0.0000 2.3335
```

Calculated density: 13913 kg/m3
Uncorrected formation energy: 113 meV per atom
Crystal system: orthorhombic


Entry 15:
# Ge2RuC

A relaxed Ge2RuC crystal (PBE, Alexandria via LeMat-Bulk).

Geometry as extended XYZ:
```
16
Lattice="5.4076 0.0000 0.0000 0.0000 5.4076 0.0000 0.0000 0.0000 8.7024" Properties=species:S:1:pos:R:3 pbc="T T T"
Ge 1.0172 1.3519 1.0878
Ge 1.3519 3.7209 3.2634
Ge 1.3519 4.3904 7.6146
Ge 1.6866 1.3519 5.4390
Ge 3.7209 4.0557 5.4390
Ge 4.0557 1.0172 7.6146
Ge 4.0557 1.6866 3.2634
Ge 4.3904 4.0557 1.0878
Ru 0.0000 0.0000 4.3512
Ru 0.0000 2.7038 6.5268
Ru 2.7038 0.0000 2.1756
Ru 2.7038 2.7038 0.0000
C 0.0000 0.0000 0.0000
C 0.0000 2.7038 2.1756
C 2.7038 0.0000 6.5268
C 2.7038 2.7038 4.3512
```

Calculated density: 6744 kg/m3
ΔE_f: 0.70 eV per atom
Crystal system: tetragonal


Entry 16:
# Ac2CdC2

A relaxed Ac2CdC2 crystal (PBE, Alexandria via LeMat-Bulk).

Geometry as extended XYZ:
```
10
Lattice="8.7064 -2.1863 0.0000 8.7064 2.1863 0.0000 -3.0776 0.0000 6.7514" Properties=species:S:1:pos:R:3 pbc="T T T"
Ac 3.2709 1.4299 6.1572
Ac 9.5254 1.4299 3.9700
Ac 4.8097 -1.4299 2.7814
Ac 11.0642 -1.4299 0.5943
Cd 6.3982 0.5119 5.0636
Cd 7.9370 -0.5119 1.6879
C 3.2530 0.5974 3.2643
C 1.7142 -0.5974 6.6400
C 12.6209 0.5974 0.1114
C 11.0821 -0.5974 3.4872
```

Calculated density: 7629 kg/m3
ΔE_f: -0.12 eV per atom
Crystal system: monoclinic


Entry 17:
# EuYSnPt

A relaxed EuYSnPt crystal (PBE, Alexandria via LeMat-Bulk).

Geometry as extended XYZ:
```
16
Lattice="7.3912 0.0000 0.0000 0.0000 7.3912 0.0000 0.0000 0.0000 7.3912" Properties=species:S:1:pos:R:3 pbc="T T T"
Eu 0.0000 0.0000 0.0000
Eu 0.0000 3.6956 3.6956
Eu 3.6956 0.0000 3.6956
Eu 3.6956 3.6956 0.0000
Y 0.0000 0.0000 3.6956
Y 0.0000 3.6956 0.0000
Y 3.6956 0.0000 0.0000
Y 3.6956 3.6956 3.6956
Sn 1.8478 1.8478 1.8478
Sn 1.8478 5.5434 5.5434
Sn 5.5434 1.8478 5.5434
Sn 5.5434 5.5434 1.8478
Pt 1.8478 1.8478 5.5434
Pt 1.8478 5.5434 1.8478
Pt 5.5434 1.8478 1.8478
Pt 5.5434 5.5434 5.5434
```

Calculated density: 9124 kg/m3
ΔE_f: -0.76 eV per atom
Crystal system: cubic


Entry 18:
# Pm3PaAl8

A relaxed Pm3PaAl8 crystal (PBE, Alexandria via LeMat-Bulk).

Geometry as extended XYZ:
```
12
Lattice="5.5955 0.0000 0.0000 -2.7977 4.8458 0.0000 0.0000 0.0000 9.2854" Properties=species:S:1:pos:R:3 pbc="T T T"
Pm 0.0000 0.0000 0.0000
Pm 0.0000 0.0000 3.4111
Pm 0.0000 3.2305 7.9713
Pa 0.0000 3.2305 4.6656
Al -1.3641 2.4430 1.7322
Al 1.3717 0.7920 6.3027
Al 1.3641 2.4430 1.7322
Al 0.0000 4.8057 1.7322
Al 2.7977 1.6153 4.0233
Al 2.7977 1.6153 8.7095
Al 4.2237 0.7920 6.3027
Al 2.7977 3.2619 6.3027
```

Calculated density: 5816 kg/m3
ΔE_f: -0.42 eV per atom
Crystal system: trigonal


Entry 19:
# Li2LaIrF

A relaxed Li2LaIrF crystal (PBE, Alexandria via LeMat-Bulk).

Geometry as extended XYZ:
```
5
Lattice="4.0258 0.0000 0.0000 0.0000 4.0258 0.0000 0.0000 0.0000 5.2675" Properties=species:S:1:pos:R:3 pbc="T T T"
Li 0.0000 2.0129 0.0000
Li 2.0129 0.0000 0.0000
La 0.0000 0.0000 2.6337
Ir 2.0129 2.0129 2.6337
F 0.0000 0.0000 0.0000
```

Calculated density: 7080 kg/m3
Uncorrected formation energy: -1312 meV per atom
Crystal system: tetragonal


Entry 20:
# KNiC3

A relaxed KNiC3 crystal (PBE, Alexandria via LeMat-Bulk).

Geometry as extended XYZ:
```
5
Lattice="4.2621 0.0000 0.0000 0.0000 4.2621 0.0000 0.0000 0.0000 4.2621" Properties=species:S:1:pos:R:3 pbc="T T T"
K 0.0000 0.0000 0.0000
Ni 2.1310 2.1310 2.1310
C 0.0000 0.0000 2.1310
C 0.0000 2.1310 0.0000
C 2.1310 0.0000 0.0000
```

Calculated density: 2870 kg/m3
Energy above the lowest structure with this stoichiometry: 2.212 eV/atom
ΔE_f: 4.57 eV per atom
Crystal system: cubic